Entry from OQMD: an optimized crystal structure of PrSiOs2C (PBE).

Structure (CIF):
```
data_PrSiOs2C
_chemical_formula_sum 'Pr2 Si2 Os4 C2'
_space_group_name_H-M_alt 'P 1'
_space_group_IT_number 1
_cell_length_a 5.918
_cell_length_b 5.918
_cell_length_c 7.209
_cell_angle_alpha 90.00
_cell_angle_beta 90.00
_cell_angle_gamma 140.51
loop_
_space_group_symop_operation_xyz
'x,y,z'
loop_
_atom_site_label
_atom_site_type_symbol
_atom_site_fract_x
_atom_site_fract_y
_atom_site_fract_z
Pr1 Pr 0.050 0.950 0.750
Pr2 Pr 0.950 0.050 0.250
Si1 Si 0.230 0.770 0.250
Si2 Si 0.770 0.230 0.750
Os1 Os 0.334 0.666 0.560
Os2 Os 0.334 0.666 0.940
Os3 Os 0.666 0.334 0.060
Os4 Os 0.666 0.334 0.440
C1 C 0.500 0.500 0.000
C2 C 0.500 0.500 0.500
```

Calculated values
Final energy ... -8.83 eV per atom